Record 1
Crystalline SmThN2 at its relaxed geometry. Source: Alexandria, functional PBE.

Unit cell a=3.585 b=3.585 c=6.485 alpha=73.95 beta=73.95 gamma=60.00
Sites, in units of the cell vectors:
N: 0.257 0.257 0.230
Sm: 0.495 0.495 0.516
N: 0.081 0.081 0.758
Th: 0.668 0.668 0.995

Calculated values
* density: 10.0 g cm⁻³
* space-group type: No. 160
* ΔE_f (raw): -1.33 eV per atom

Record 2
Crystalline Li3NdZn2 at its relaxed geometry. Source: Alexandria, functional PBE.

Unit cell a=4.668 b=7.006 c=8.832 alpha=118.18 beta=90.00 gamma=109.46
Sites, in units of the cell vectors:
Li: 0.707 0.415 0.520
Li: 0.293 0.585 0.480
Zn: 0.561 0.122 0.176
Zn: 0.439 0.878 0.824
Li: 0.576 0.152 0.684
Li: 0.951 0.902 0.625
Zn: 0.796 0.593 0.279
Nd: 0.854 0.707 0.966
Li: 0.424 0.848 0.316
Li: 0.049 0.098 0.375
Nd: 0.146 0.293 0.034
Zn: 0.204 0.407 0.721

Calculated values
* density: 4.2 g cm⁻³
* space-group type: No. 12
* formation energy from the elements: -0.13 eV per atom

Record 3
Crystalline CaSmP2Pd2 at its relaxed geometry. Source: Alexandria, functional PBE.

Unit cell a=4.155 b=4.155 c=8.007 alpha=90.00 beta=90.00 gamma=120.00
Sites, in units of the cell vectors:
P: 0.667 0.333 0.739
Ca: 0.000 0.000 0.000
Sm: 0.000 0.000 0.500
Pd: 0.667 0.333 0.249
Pd: 0.333 0.667 0.751
P: 0.333 0.667 0.261

Calculated values
* density: 6.5 g cm⁻³
* space-group type: No. 164
* formation energy from the elements: -1.15 eV per atom

Record 4
Crystalline AcNdDySn at its relaxed geometry. Source: Alexandria, functional PBE.

Unit cell a=5.616 b=5.616 c=5.616 alpha=60.00 beta=60.00 gamma=60.00
Sites, in units of the cell vectors:
Dy: 0.000 0.000 0.000
Sn: 0.250 0.250 0.250
Ac: 0.750 0.750 0.750
Nd: 0.500 0.500 0.500

Calculated values
* density: 8.6 g cm⁻³
* space-group type: No. 216
* formation energy from the elements: -0.19 eV per atom

Record 5
Crystalline AcTb7Tm4 at its relaxed geometry. Source: Alexandria, functional PBE.

Unit cell a=7.202 b=6.220 c=11.429 alpha=79.49 beta=50.91 gamma=90.01
Sites, in units of the cell vectors:
Tb: 0.338 0.775 0.661
Tb: 0.916 0.719 0.338
Tm: 0.836 0.781 0.664
Tb: 0.500 0.000 0.000
Tb: 0.256 0.500 0.000
Tm: 0.593 0.279 0.663
Tb: 0.744 0.500 0.000
Tb: 0.084 0.281 0.662
Ac: 0.000 0.000 0.000
Tm: 0.164 0.219 0.336
Tm: 0.407 0.721 0.337
Tb: 0.662 0.225 0.339

Calculated values
* density: 8.7 g cm⁻³
* space-group type: No. 2
* formation energy from the elements: 0.01 eV per atom
* offset from the most stable computed form: 0.0 kJ/mol of atoms

Let's list Fermi-level density of states in order: 0.568; 0.650; 0.271; 1.592; 1.355 states/eV per atom.
Let's list total magnetization in order: 0.00; 0.00; 0.00; 0.00; 0.00 μB per formula unit.
Let's list DFT total energy in order: -8.523; -2.309; -5.808; -4.560; -4.523 eV per atom.